Density functional theory data (GGA+U) for a geometry-optimized SrTlWO4 structure.

Its total energy is -6.324 eV per atom.

It has space group P2_1/m (No. 11), with a = 6.9208 Å, b = 6.1437 Å, c = 7.7372 Å, α = 90.00°, β = 100.10° and γ = 90.00°. The asymmetric unit holds Sr at (0.1626, 0.2500, 0.0995), Tl at (0.2496, 0.2500, 0.6321), W at (0.3322, 0.7500, 0.8830), O at (0.1282, 0.5251, 0.8550), O at (0.4675, 0.7500, 0.1094) and O at (0.4877, 0.7500, 0.7136).